Record 1
{
  "formula": "MnTlBr",
  "functional": "PBE",
  "state": "relaxed",
  "relative_energy_kj_per_mol_atoms": 0.0,
  "volume_a3_per_cell": 82.1,
  "lattice_angstrom": [[-0.056, -3.101, 1.804], [1.948, 2.753, 1.224], [-5.792, 2.368, 3.892]],
  "species": ["Mn", "Br", "Tl"],
  "frac_coords": [[0.667, 0.333, 0.307], [0.000, 0.000, 0.090], [0.333, 0.667, 0.604]]
}

---

Record 2
{
  "formula": "MnTlBr3",
  "functional": "PBE",
  "state": "relaxed",
  "relative_energy_kj_per_mol_atoms": 0.0,
  "volume_a3_per_cell": 700.2,
  "lattice_angstrom": [[6.941, 0.000, 0.000], [0.000, 8.061, -2.075], [0.000, 0.284, 12.442]],
  "species": ["Mn", "Mn", "Mn", "Mn", "Br", "Br", "Br", "Br", "Br", "Br", "Br", "Br", "Br", "Br", "Br", "Br", "Tl", "Tl", "Tl", "Tl"],
  "frac_coords": [[0.744, 0.916, 0.022], [0.256, 0.084, 0.978], [0.244, 0.084, 0.478], [0.756, 0.916, 0.522], [0.715, 0.647, 0.082], [0.925, 0.192, 0.091], [0.075, 0.808, 0.909], [0.215, 0.353, 0.418], [0.785, 0.647, 0.582], [0.285, 0.353, 0.918], [0.575, 0.192, 0.591], [0.938, 0.951, 0.350], [0.562, 0.951, 0.850], [0.425, 0.808, 0.409], [0.062, 0.049, 0.650], [0.438, 0.049, 0.150], [0.241, 0.672, 0.133], [0.759, 0.328, 0.867], [0.259, 0.672, 0.633], [0.741, 0.328, 0.367]]
}

---

Record 3
{
  "formula": "Mn2TlBr",
  "functional": "PBE",
  "state": "relaxed",
  "relative_energy_kj_per_mol_atoms": 10.9,
  "volume_a3_per_cell": 85.7,
  "lattice_angstrom": [[-0.098, 0.271, -8.405], [3.001, -1.180, -7.767], [0.130, -3.148, -7.797]],
  "species": ["Mn", "Mn", "Tl", "Br"],
  "frac_coords": [[0.498, 0.498, 0.498], [0.002, 0.002, 0.002], [0.250, 0.250, 0.250], [0.750, 0.750, 0.750]]
}

---

Record 4
{
  "formula": "MnTl3Br7",
  "functional": "PBE",
  "state": "relaxed",
  "e_tot_ev_per_fu": -35.56,
  "volume_a3_per_cell": 393.5,
  "lattice_angstrom": [[-0.223, -3.241, 6.574], [3.225, -6.004, -2.706], [7.487, -0.027, 2.790]],
  "species": ["Br", "Br", "Br", "Br", "Br", "Br", "Br", "Mn", "Tl", "Tl", "Tl"],
  "frac_coords": [[0.036, 0.689, 0.154], [0.155, 0.155, 0.139], [0.859, 0.859, 0.786], [0.989, 0.328, 0.751], [0.689, 0.036, 0.154], [0.575, 0.575, 0.594], [0.328, 0.989, 0.751], [0.010, 0.010, 0.960], [0.504, 0.504, 0.993], [0.224, 0.756, 0.483], [0.756, 0.224, 0.483]]
}

---

Record 5
{
  "formula": "MnTlBr3",
  "functional": "PBE",
  "state": "relaxed",
  "relative_energy_kj_per_mol_atoms": 5.0,
  "volume_a3_per_cell": 152.6,
  "lattice_angstrom": [[5.344, 0.000, 0.000], [0.000, 5.344, 0.000], [0.000, 0.000, 5.344]],
  "species": ["Br", "Br", "Br", "Mn", "Tl"],
  "frac_coords": [[0.500, 0.000, 0.000], [0.000, 0.500, 0.000], [0.000, 0.000, 0.500], [0.000, 0.000, 0.000], [0.500, 0.500, 0.500]]
}

---

Record 6
{
  "formula": "Mn2TlBr",
  "functional": "PBE",
  "state": "relaxed",
  "relative_energy_kj_per_mol_atoms": 20.5,
  "volume_a3_per_cell": 82.8,
  "lattice_angstrom": [[3.269, 0.000, 0.000], [0.000, 3.269, 0.000], [0.000, 0.000, 7.750]],
  "species": ["Mn", "Mn", "Br", "Tl"],
  "frac_coords": [[0.000, 0.000, 0.500], [0.000, 0.000, 0.000], [0.500, 0.500, 0.750], [0.500, 0.500, 0.250]]
}

---

Record 7
{
  "formula": "Mn2TlBr",
  "functional": "PBE",
  "state": "relaxed",
  "relative_energy_kj_per_mol_atoms": 5.6,
  "volume_a3_per_cell": 99.7,
  "lattice_angstrom": [[-4.954, -0.463, -0.990], [-3.293, -1.065, -3.709], [-3.991, -6.997, -0.889]],
  "species": ["Mn", "Mn", "Tl", "Br"],
  "frac_coords": [[0.562, 0.562, 0.584], [0.938, 0.938, 0.916], [0.750, 0.750, 0.750], [0.250, 0.250, 0.250]]
}

---

Record 8
{
  "formula": "Mn2TlBr",
  "functional": "PBE",
  "state": "relaxed",
  "relative_energy_kj_per_mol_atoms": 5.3,
  "volume_a3_per_cell": 100.0,
  "lattice_angstrom": [[-0.981, -1.487, -6.495], [0.060, -4.286, -5.194], [-4.438, -1.212, 0.943]],
  "species": ["Br", "Tl", "Mn", "Mn"],
  "frac_coords": [[0.312, 0.312, 0.000], [0.536, 0.536, 0.500], [0.660, 0.660, 0.000], [0.992, 0.992, 0.000]]
}

---

Record 9
{
  "formula": "Mn2Tl2Br7",
  "functional": "PBE",
  "state": "relaxed",
  "e_tot_ev_per_fu": -42.76,
  "volume_a3_per_cell": 447.3,
  "lattice_angstrom": [[6.402, -0.057, -0.082], [-0.683, 8.513, 0.383], [-0.683, -2.631, 8.106]],
  "species": ["Tl", "Tl", "Br", "Br", "Br", "Br", "Br", "Br", "Br", "Mn", "Mn"],
  "frac_coords": [[0.500, 0.299, 0.701], [0.500, 0.701, 0.299], [0.765, 0.609, 0.609], [0.235, 0.391, 0.391], [0.245, 0.914, 0.598], [0.245, 0.598, 0.914], [0.755, 0.086, 0.402], [0.000, 0.000, 0.000], [0.755, 0.402, 0.086], [0.079, 0.771, 0.771], [0.921, 0.229, 0.229]]
}

---

Record 10
{
  "formula": "Mn2TlBr",
  "functional": "PBE",
  "state": "relaxed",
  "relative_energy_kj_per_mol_atoms": 18.7,
  "volume_a3_per_cell": 86.1,
  "lattice_angstrom": [[4.690, 0.000, 0.000], [0.000, 3.244, 0.009], [0.000, 1.573, 5.665]],
  "species": ["Mn", "Mn", "Br", "Tl"],
  "frac_coords": [[0.000, 0.824, 0.981], [0.500, 0.207, 0.213], [0.500, 0.893, 0.837], [0.000, 0.576, 0.470]]
}

---

Record 11
{
  "formula": "Mn2TlBr",
  "functional": "PBE",
  "state": "relaxed",
  "relative_energy_kj_per_mol_atoms": 0.0,
  "volume_a3_per_cell": 92.5,
  "lattice_angstrom": [[-1.312, -3.026, 0.545], [2.483, -0.693, 2.128], [-4.489, 3.070, 6.238]],
  "species": ["Mn", "Mn", "Tl", "Br"],
  "frac_coords": [[0.000, 0.000, 0.020], [0.500, 0.500, 0.203], [0.000, 0.000, 0.427], [0.500, 0.500, 0.850]]
}

---

Record 12
{
  "formula": "MnTlBr3",
  "functional": "PBE",
  "state": "relaxed",
  "relative_energy_kj_per_mol_atoms": 1.5,
  "volume_a3_per_cell": 319.0,
  "lattice_angstrom": [[4.067, 0.000, 0.000], [0.000, 8.719, 0.104], [0.000, -1.787, 8.975]],
  "species": ["Br", "Br", "Br", "Br", "Br", "Br", "Tl", "Tl", "Mn", "Mn"],
  "frac_coords": [[0.250, 0.954, 0.660], [0.750, 0.645, 0.410], [0.750, 0.282, 0.920], [0.750, 0.046, 0.340], [0.250, 0.355, 0.590], [0.250, 0.718, 0.080], [0.250, 0.367, 0.194], [0.750, 0.633, 0.806], [0.750, 0.166, 0.638], [0.250, 0.834, 0.362]]
}

---

So what do the calculations give for calculated density? Going down the list: 6.86, 4.73, 7.64, 5.18, 5.43, 7.90, 6.56, 6.55, 4.00, 7.60, 7.08, 5.20 g cm⁻³.